# FeCoNiF6 | Alexandria | PBE with a Hubbard U | optimized geometry
data_FeCoNiF6
_chemical_formula_sum 'Fe2 Co2 Ni2 F12'
_cell_length_a 4.7541
_cell_length_b 4.7541
_cell_length_c 9.6353
_cell_angle_alpha 90.00
_cell_angle_beta 90.00
_cell_angle_gamma 90.00
_symmetry_space_group_name_H-M 'P 42 n m'
_symmetry_Int_Tables_number 102
loop_
_symmetry_equiv_pos_as_xyz
'x,y,z'
'-y+1/2,x+1/2,z+1/2'
'-x,-y,z'
'y+1/2,-x+1/2,z+1/2'
'-x+1/2,y+1/2,z+1/2'
'y,x,z'
'x+1/2,-y+1/2,z+1/2'
'-y,-x,z'
loop_
_atom_site_label
_atom_site_type_symbol
_atom_site_fract_x
_atom_site_fract_y
_atom_site_fract_z
_atom_site_occupancy
Fe1 Fe 0.0000 0.0000 0.0000 1
Co1 Co 0.0000 0.0000 0.6678 1
Ni1 Ni 0.0000 0.0000 0.3332 1
F1 F 0.1940 0.1940 0.4980 1
F2 F 0.1975 0.1975 0.1718 1
F3 F 0.2001 0.2001 0.8310 1
# Energy: -0.3662 Ry/atom
# Spin magnetization: 9.00 μB/f.u.